1.
An optimized crystal structure of H2IBr. Source: Alexandria, functional PBE.

Values from the calculation:
For the density of states at the Fermi level, the calculation gives 0.0 states/eV/f.u. The spin magnetization is 0.00 μB/cell. The calculation puts the total energy at -2.60 eV per atom.

Cell: 4.863 4.863 5.833 Å, 90.36 90.36 107.38°
Fractional positions:
H 0.000 0.000 0.000
H 0.109 0.109 0.490
I 0.799 0.799 0.795
Br 0.290 0.290 0.314

***

2.
An optimized crystal structure of Tb4Pm9Pu. Source: Alexandria, functional PBE.

Values from the calculation:
For the density of states at the Fermi level, the calculation gives 24.4 states/eV/f.u. The spin magnetization is 11.52 μB/cell. The formation energy comes out at 0.17 eV per atom.

Cell: 9.880 9.880 11.214 Å, 90.00 90.00 120.00°
Fractional positions:
Tb 0.000 0.000 0.000
Tb 0.000 0.000 0.500
Tb 0.112 0.224 0.250
Tb 0.112 0.888 0.250
Tb 0.224 0.112 0.750
Tb 0.776 0.888 0.250
Tb 0.888 0.112 0.750
Tb 0.888 0.776 0.750
Pm 0.073 0.536 0.250
Pm 0.209 0.418 0.535
Pm 0.209 0.418 0.965
Pm 0.209 0.791 0.535
Pm 0.209 0.791 0.965
Pm 0.418 0.209 0.035
Pm 0.418 0.209 0.465
Pm 0.464 0.536 0.250
Pm 0.464 0.927 0.250
Pm 0.536 0.073 0.750
Pm 0.536 0.464 0.750
Pm 0.582 0.791 0.535
Pm 0.582 0.791 0.965
Pm 0.791 0.209 0.035
Pm 0.791 0.209 0.465
Pm 0.791 0.582 0.035
Pm 0.791 0.582 0.465
Pm 0.927 0.464 0.750
Pu 0.333 0.667 0.750
Pu 0.667 0.333 0.250

***

3.
An optimized crystal structure of Ho8Zn2Te. Source: Alexandria, functional PBE.

Values from the calculation:
For the density of states at the Fermi level, the calculation gives 14.2 states/eV/f.u. The spin magnetization is 0.00 μB/cell. The calculation puts the uncorrected formation energy at -0.19 eV per atom.

Cell: 7.983 7.983 5.603 Å, 99.08 99.08 115.24°
Fractional positions:
Ho 0.083 0.325 0.609
Ho 0.239 0.761 0.000
Ho 0.325 0.083 0.609
Ho 0.399 0.399 0.203
Ho 0.601 0.601 0.797
Ho 0.675 0.917 0.391
Ho 0.761 0.239 0.000
Ho 0.917 0.675 0.391
Zn 0.307 0.693 0.500
Zn 0.693 0.307 0.500
Te 0.000 0.000 0.000

***

4.
An optimized crystal structure of GdAl3B4O12. Source: Alexandria, functional PBE.

Values from the calculation:
For the density of states at the Fermi level, the calculation gives 0.0 states/eV/f.u. The spin magnetization is 20.93 μB/cell. The calculation puts the uncorrected formation energy at -2.82 eV per atom.

Cell: 5.945 5.945 16.341 Å, 90.43 90.43 104.35°
Fractional positions:
Gd 0.000 0.000 0.000
Gd 0.101 0.240 0.668
Gd 0.760 0.899 0.332
Al 0.177 0.747 0.185
Al 0.209 0.456 0.334
Al 0.253 0.823 0.815
Al 0.505 0.088 0.519
Al 0.544 0.791 0.666
Al 0.553 0.447 0.000
Al 0.587 0.154 0.148
Al 0.846 0.413 0.852
Al 0.912 0.495 0.481
B 0.023 0.718 0.648
B 0.075 0.519 0.018
B 0.103 0.229 0.170
B 0.282 0.977 0.352
B 0.327 0.339 0.837
B 0.432 0.568 0.500
B 0.481 0.925 0.982
B 0.617 0.311 0.685
B 0.661 0.673 0.163
B 0.689 0.383 0.315
B 0.771 0.897 0.830
B 0.988 0.012 0.500
O 0.104 0.698 0.074
O 0.147 0.132 0.341
O 0.155 0.432 0.216
O 0.181 0.490 0.832
O 0.195 0.083 0.542
O 0.221 0.763 0.697
O 0.230 0.385 0.006
O 0.233 0.518 0.451
O 0.237 0.779 0.303
O 0.254 0.083 0.166
O 0.261 0.137 0.791
O 0.302 0.896 0.926
O 0.462 0.005 0.408
O 0.482 0.767 0.549
O 0.485 0.468 0.674
O 0.510 0.819 0.168
O 0.527 0.125 0.030
O 0.531 0.393 0.882
O 0.532 0.515 0.326
O 0.567 0.112 0.636
O 0.568 0.845 0.784
O 0.580 0.420 0.500
O 0.607 0.469 0.118
O 0.615 0.770 0.994
O 0.661 0.203 0.259
O 0.797 0.339 0.741
O 0.838 0.099 0.876
O 0.839 0.161 0.500
O 0.863 0.739 0.209
O 0.868 0.853 0.659
O 0.875 0.473 0.970
O 0.888 0.433 0.364
O 0.901 0.162 0.124
O 0.917 0.746 0.834
O 0.917 0.805 0.458
O 0.995 0.538 0.592

***

5.
An optimized crystal structure of Tl7Bi2. Source: Alexandria, functional PBE.

Values from the calculation:
For the density of states at the Fermi level, the calculation gives 6.0 states/eV/f.u. The spin magnetization is 0.00 μB/cell. The formation energy comes out at 0.01 eV per atom.

Cell: 6.135 6.135 8.759 Å, 90.00 90.00 120.00°
Fractional positions:
Tl 0.000 0.000 0.000
Tl 0.000 0.336 0.673
Tl 0.000 0.664 0.327
Tl 0.336 0.000 0.673
Tl 0.336 0.336 0.327
Tl 0.664 0.000 0.327
Tl 0.664 0.664 0.673
Bi 0.333 0.667 0.000
Bi 0.667 0.333 0.000

***

6.
An optimized crystal structure of TiAlSnPb2. Source: Alexandria, functional PBE.

Values from the calculation:
For the density of states at the Fermi level, the calculation gives 3.1 states/eV/f.u. The spin magnetization is 0.00 μB/cell. The formation energy comes out at 0.45 eV per atom.

Cell: 5.403 5.403 5.103 Å, 90.00 90.00 90.00°
Fractional positions:
Ti 0.000 0.000 0.000
Al 0.000 0.000 0.500
Sn 0.500 0.500 0.500
Pb 0.000 0.500 0.000
Pb 0.500 0.000 0.000

***

7.
An optimized crystal structure of Pm7NiPb4. Source: Alexandria, functional PBE.

Values from the calculation:
For the density of states at the Fermi level, the calculation gives 12.1 states/eV/f.u. The spin magnetization is 0.00 μB/cell. The formation energy comes out at -0.25 eV per atom.

Cell: 8.519 8.519 11.417 Å, 125.06 125.06 37.05°
Fractional positions:
Pm 0.000 0.000 0.000
Pm 0.141 0.141 0.555
Pm 0.287 0.287 0.135
Pm 0.425 0.425 0.719
Pm 0.575 0.575 0.281
Pm 0.713 0.713 0.865
Pm 0.859 0.859 0.445
Ni 0.500 0.500 0.000
Pb 0.079 0.079 0.781
Pb 0.223 0.223 0.345
Pb 0.777 0.777 0.655
Pb 0.921 0.921 0.219

***

8.
An optimized crystal structure of NaSrDyBr6. Source: Alexandria, functional PBE.

Values from the calculation:
For the density of states at the Fermi level, the calculation gives 0.0 states/eV/f.u. The spin magnetization is 0.00 μB/cell. The calculation puts the uncorrected formation energy at -1.88 eV per atom.

Cell: 7.541 7.541 13.159 Å, 90.00 90.00 120.00°
Fractional positions:
Na 0.000 0.000 0.000
Na 0.000 0.000 0.500
Sr 0.333 0.667 0.250
Sr 0.667 0.333 0.750
Dy 0.333 0.667 0.750
Dy 0.667 0.333 0.250
Br 0.026 0.361 0.628
Br 0.026 0.665 0.872
Br 0.335 0.361 0.872
Br 0.335 0.974 0.628
Br 0.361 0.026 0.128
Br 0.361 0.335 0.372
Br 0.639 0.665 0.628
Br 0.639 0.974 0.872
Br 0.665 0.026 0.372
Br 0.665 0.639 0.128
Br 0.974 0.335 0.128
Br 0.974 0.639 0.372

***

9.
An optimized crystal structure of Ac2DyGa4Pd3. Source: Alexandria, functional PBE.

Values from the calculation:
For the density of states at the Fermi level, the calculation gives 10.2 states/eV/f.u. The spin magnetization is 0.00 μB/cell. The formation energy comes out at -0.71 eV per atom.

Cell: 4.364 4.364 11.904 Å, 90.00 90.00 90.00°
Fractional positions:
Ac 0.000 0.500 0.227
Ac 0.500 0.000 0.773
Dy 0.000 0.000 0.500
Ga 0.000 0.000 0.000
Ga 0.000 0.500 0.662
Ga 0.500 0.000 0.338
Ga 0.500 0.500 0.000
Pd 0.000 0.500 0.879
Pd 0.500 0.000 0.121
Pd 0.500 0.500 0.500

***

10.
An optimized crystal structure of Tb2AgHg6. Source: Alexandria, functional PBE.

Values from the calculation:
For the density of states at the Fermi level, the calculation gives 3.2 states/eV/f.u. The spin magnetization is 0.00 μB/cell. The formation energy comes out at -0.27 eV per atom.

Cell: 9.337 9.337 4.857 Å, 90.00 90.00 90.00°
Fractional positions:
Tb 0.194 0.194 0.000
Tb 0.306 0.694 0.500
Tb 0.694 0.306 0.500
Tb 0.806 0.806 0.000
Ag 0.000 0.000 0.500
Ag 0.500 0.500 0.000
Hg 0.030 0.335 0.500
Hg 0.140 0.860 0.000
Hg 0.165 0.530 0.000
Hg 0.335 0.030 0.500
Hg 0.360 0.360 0.500
Hg 0.470 0.835 0.000
Hg 0.530 0.165 0.000
Hg 0.640 0.640 0.500
Hg 0.665 0.970 0.500
Hg 0.835 0.470 0.000
Hg 0.860 0.140 0.000
Hg 0.970 0.665 0.500

***

Q: Which formula does entry 2 have?
A: Tb4Pm9Pu

***

Please write out number 7 again, unchanged.
An optimized crystal structure of Pm7NiPb4. Source: Alexandria, functional PBE.

Values from the calculation:
For the density of states at the Fermi level, the calculation gives 12.1 states/eV/f.u. The spin magnetization is 0.00 μB/cell. The formation energy comes out at -0.25 eV per atom.

Cell: 8.519 8.519 11.417 Å, 125.06 125.06 37.05°
Fractional positions:
Pm 0.000 0.000 0.000
Pm 0.141 0.141 0.555
Pm 0.287 0.287 0.135
Pm 0.425 0.425 0.719
Pm 0.575 0.575 0.281
Pm 0.713 0.713 0.865
Pm 0.859 0.859 0.445
Ni 0.500 0.500 0.000
Pb 0.079 0.079 0.781
Pb 0.223 0.223 0.345
Pb 0.777 0.777 0.655
Pb 0.921 0.921 0.219